[1]
NbSi2CI | Alexandria via LeMat-Bulk | GGA-PBE | relaxed; total DFT energy (no corrections) = -5.241 eV per atom; space group = P4/mmm, No. 123; uncorrected formation energy = 1.10 eV per atom
1.0
-3.707 -1.894 3.086
1.164 -3.857 -0.969
3.316 0.000 3.982
Nb Si C I
1 2 1 1
Direct
0.000 0.000 0.000 Nb
0.000 0.000 0.500 Si
0.500 0.000 0.000 Si
0.000 0.500 0.000 C
0.500 0.500 0.500 I



[2]
SnSbP | Alexandria via LeMat-Bulk | GGA-PBE | relaxed; total DFT energy (no corrections) = -4.415 eV per atom; space group = P1, No. 1; polymorph energy (0 for the lowest one) = 3.83 kJ/mol of atoms; uncorrected formation energy = 0.10 eV per atom
1.0
-2.885 -2.617 -0.591
4.505 -4.630 -1.422
-0.185 1.698 6.485
Sn P Sb
2 2 2
Direct
0.746 0.221 0.123 Sn
0.045 0.253 0.719 Sn
0.367 0.135 0.368 P
0.288 0.766 0.210 P
0.925 0.712 0.488 Sb
0.611 0.682 0.858 Sb



[3]
CsTiPb2Cl8 | Alexandria via LeMat-Bulk | GGA-PBE | relaxed; total DFT energy (no corrections) = -4.029 eV per atom; space group = P-1, No. 2; uncorrected formation energy = -1.45 eV per atom
1.0
-5.736 1.608 -3.723
-1.892 -6.904 -0.390
-5.430 -4.076 6.487
Cl Pb Cs Ti
8 2 1 1
Direct
0.243 0.166 0.081 Cl
0.938 0.349 0.733 Cl
0.541 0.273 0.467 Cl
0.459 0.727 0.533 Cl
0.757 0.834 0.919 Cl
0.247 0.900 0.870 Cl
0.753 0.100 0.130 Cl
0.062 0.651 0.267 Cl
0.539 0.262 0.762 Pb
0.461 0.738 0.238 Pb
0.000 0.000 0.500 Cs
0.000 0.000 0.000 Ti



[4]
Sc2PN2 | Alexandria via LeMat-Bulk | GGA-PBE | relaxed; total DFT energy (no corrections) = -7.584 eV per atom; space group = I4/mmm, No. 139; polymorph energy (0 for the lowest one) = 0.00 kJ/mol of atoms; uncorrected formation energy = -0.64 eV per atom
1.0
-2.343 -0.553 -2.321
-1.590 -2.064 2.096
-5.316 3.536 2.116
Sc N P
2 2 1
Direct
0.357 0.357 0.286 Sc
0.643 0.643 0.714 Sc
0.250 0.750 0.500 N
0.750 0.250 0.500 N
0.000 0.000 0.000 P



| no. | total magnetic moment (μB/atom) |
| --- | --- |
| 1 | 0.00 |
| 2 | 0.00 |
| 3 | 0.08 |
| 4 | 0.00 |